Mn2SeO | PBE with a Hubbard U | relaxed

a = 3.9086 Å, b = 3.9086 Å, c = 5.1434 Å
α = 90.00°, β = 90.00°, γ = 90.00°
Site moments in Bohr magnetons follow the coordinates.
Fractional coordinates of all 4 atoms:
Mn (0.0000, 0.5000, 0.3236)  4.60
Mn (0.5000, 0.0000, 0.6764)  4.60
Se (0.0000, 0.0000, 0.0000)  0.05
O (0.5000, 0.5000, 0.5000)  0.09

Properties
- Distance to the lowest polymorph of the same formula: 68 meV/atom
- Fermi-level density of states: 0.1542 states/eV/atom